Record 1
! Ac5CeSn5 PBE relaxed; values from VASP
&SYSTEM
  ibrav = 0, nat = 11, ntyp = 3
/
ATOMIC_SPECIES
Ac 227.00 Ac.upf
Ce 140.12 Ce.upf
Sn 118.71 Sn.upf
ATOMIC_POSITIONS angstrom
Ac 0.0000 0.0000 0.0000
Ac 4.4463 0.0000 1.5104
Ac 3.1419 0.0000 5.8771
Ac 9.2165 0.0000 2.9369
Ac 7.9121 0.0000 7.3035
Ce -1.4602 0.0000 4.4070
Sn 1.3845 0.0000 3.0060
Sn 0.0201 0.0000 7.2559
Sn 6.1792 0.0000 4.4070
Sn 12.3383 0.0000 1.5581
Sn 10.9739 0.0000 5.8079
CELL_PARAMETERS angstrom
7.6394 -3.3499 0.0000
7.6394 3.3499 0.0000
-2.9203 0.0000 8.8139
! **ρ**: 6.879 Mg/m³
! **D(E_F)**: 14.4 states/eV per cell
! **Uncorrected energy**: -4.676 eV per atom
! **Crystal system**: monoclinic
! **Total magnetization**: 0.09 μB/atom
! **DFT formation energy**: -4.95 eV per formula unit

***

Record 2
! KHg2Os PBE relaxed; values from VASP
&SYSTEM
  ibrav = 0, nat = 4, ntyp = 3
/
ATOMIC_SPECIES
K 39.10 K.upf
Hg 200.59 Hg.upf
Os 190.23 Os.upf
ATOMIC_POSITIONS angstrom
K 0.0000 0.0000 0.0000
Hg 1.4301 2.7594 4.9738
Hg 1.4496 0.0000 2.7372
Os 1.4841 2.7594 2.1901
CELL_PARAMETERS angstrom
2.9247 0.0000 0.0000
0.0000 5.5189 0.0000
-0.0293 0.0000 5.6836
! **ρ**: 11.413 Mg/m³
! **D(E_F)**: 2.0 states/eV per cell
! **Uncorrected energy**: -2.458 eV per atom
! **Crystal system**: monoclinic
! **Total magnetization**: 0.00 μB/atom
! **DFT formation energy**: 3.10 eV per formula unit

***

Record 3
! Li3Hg2BRh3 PBE relaxed; values from VASP
&SYSTEM
  ibrav = 0, nat = 9, ntyp = 4
/
ATOMIC_SPECIES
Li 6.94 Li.upf
Hg 200.59 Hg.upf
B 10.81 B.upf
Rh 102.91 Rh.upf
ATOMIC_POSITIONS angstrom
Li -2.2816 3.9519 0.0000
Li 1.2636 2.1886 0.0000
Li 4.5632 0.0000 0.0000
Hg 0.0000 4.0936 1.4888
Hg 3.5452 2.0468 1.4888
B 0.0000 0.0000 0.0000
Rh -0.8027 1.3903 1.4888
Rh 1.6053 0.0000 1.4888
Rh 2.7425 4.7502 1.4888
CELL_PARAMETERS angstrom
7.0904 0.0000 0.0000
-3.5452 6.1404 0.0000
0.0000 0.0000 2.9776
! **ρ**: 9.498 Mg/m³
! **D(E_F)**: 3.3 states/eV per cell
! **Uncorrected energy**: -4.209 eV per atom
! **Crystal system**: hexagonal
! **Total magnetization**: 0.00 μB/atom
! **DFT formation energy**: -2.80 eV per formula unit